[1]
DyErInHg: optimized geometry, PBE.

The value obtained for the energy relative to the elements is -0.455 eV per atom. For the volume, the calculation gives 26.0 Å³/atom. Its calculated total energy is -0.129 hartree per atom. The density of states at the Fermi level comes out at 18.4 states/eV/cell.

The structure belongs to space group F-43m (No. 216); the cell edges are 7.467, 7.467 and 7.467 Å and the angles 90.00°, 90.00° and 90.00°. The distinct sites, in fractional coordinates, are Dy at (0.000, 0.000, 0.000), Er at (0.000, 0.000, 0.500), In at (0.250, 0.250, 0.750) and Hg at (0.250, 0.250, 0.250).



[2]
DyErHgIr: optimized geometry, PBE.

The value obtained for the energy relative to the elements is -0.636 eV per atom. For the volume, the calculation gives 22.3 Å³/atom. Its calculated total energy is -0.192 hartree per atom. The density of states at the Fermi level comes out at 7.8 states/eV/cell.

The structure belongs to space group F-43m (No. 216); the cell edges are 7.089, 7.089 and 7.089 Å and the angles 90.00°, 90.00° and 90.00°. The distinct sites, in fractional coordinates, are Dy at (0.000, 0.000, 0.000), Er at (0.000, 0.000, 0.500), Hg at (0.250, 0.250, 0.750) and Ir at (0.250, 0.250, 0.250).



[3]
La2DyEr2Hg5: optimized geometry, PBE.

The value obtained for the energy relative to the elements is -0.357 eV per atom. For the volume, the calculation gives 28.4 Å³/atom. Its calculated total energy is -0.105 hartree per atom. The density of states at the Fermi level comes out at 14.2 states/eV/cell.

The structure belongs to space group P4/mbm (No. 127); the cell edges are 11.985, 11.985 and 3.949 Å and the angles 90.00°, 90.00° and 90.00°. The distinct sites, in fractional coordinates, are La at (0.171, 0.329, 0.000), Dy at (0.000, 0.000, 0.000), Er at (0.131, 0.631, 0.000), Hg at (0.000, 0.500, 0.500) and Hg at (0.090, 0.822, 0.500).



[4]
La2Dy2ErHg5: optimized geometry, PBE.

The value obtained for the energy relative to the elements is -0.353 eV per atom. For the volume, the calculation gives 28.5 Å³/atom. Its calculated total energy is -0.105 hartree per atom. The density of states at the Fermi level comes out at 15.1 states/eV/cell.

The structure belongs to space group P4/mbm (No. 127); the cell edges are 12.064, 12.064 and 3.921 Å and the angles 90.00°, 90.00° and 90.00°. The distinct sites, in fractional coordinates, are La at (0.170, 0.330, 0.000), Dy at (0.133, 0.633, 0.000), Er at (0.000, 0.000, 0.000), Hg at (0.000, 0.500, 0.500) and Hg at (0.092, 0.826, 0.500).



volume of number 4 (La2Dy2ErHg5)?
28.5 Å³/atom



Among the records above, which one has the highest volume?
La2Dy2ErHg5



The lowest volume belongs to which entry?
DyErHgIr